Computed, not measured: a relaxed structure of SrLaPb4 at the PBE level of DFT.

Cell and atoms, written as POSCAR:
```
SrLaPb4
1.0
-4.419 1.641 4.590
1.223 -1.256 6.341
1.252 4.948 4.152
La Pb Sr
1 4 1
Cartesian
0.000 0.000 0.000
-1.847 0.848 7.350
-1.832 3.969 6.248
1.007 2.511 7.129
-1.216 3.337 9.439
-0.486 1.333 3.771
```

Computed properties:
DFT formation energy (eV per atom): -0.31
Energy above the most stable polymorph in this dataset (eV/f.u.): 0.696

Computed, not measured: a relaxed structure of BaRu2F at the PBE level of DFT.

Cell and atoms, written as POSCAR:
```
BaRu2F
1.0
3.576 0.000 0.000
0.000 3.576 0.000
1.788 1.788 13.220
F Ru Ba
2 4 2
Cartesian
1.788 3.576 6.610
1.788 1.788 0.000
2.702 0.894 3.305
4.470 4.490 9.915
0.874 2.682 3.305
2.682 2.662 9.915
0.000 0.000 0.000
3.576 1.788 6.610
```

Computed properties:
Energy above the most stable polymorph in this dataset (eV/f.u.): 0.000

Computed, not measured: a relaxed structure of CdOs2Rh at the PBE level of DFT.

Cell and atoms, written as POSCAR:
```
CdOs2Rh
1.0
2.657 -4.255 0.000
2.657 4.255 0.000
0.000 0.000 2.744
Rh Os Cd
1 2 1
Cartesian
0.000 0.000 1.372
1.329 2.127 0.000
1.329 -2.127 0.000
2.657 0.000 1.372
```

Computed properties:
DFT formation energy (eV per atom): 0.58

Computed, not measured: a relaxed structure of Ti5SbPb2 at the PBE level of DFT.

Cell and atoms, written as POSCAR:
```
Ti5SbPb2
1.0
-4.077 2.134 1.204
-2.836 -3.158 -4.007
-1.909 -7.947 7.616
Ti Sb Pb
10 2 4
Cartesian
-2.620 -0.165 0.816
-2.859 -4.740 -1.282
-4.213 -4.849 3.722
-1.375 -2.885 0.457
-0.955 -3.973 3.808
-3.371 -8.219 3.152
-1.886 -6.365 4.891
-1.418 -1.579 -2.003
-6.202 -8.806 3.997
-4.610 -4.122 1.091
0.000 0.000 0.000
-2.373 -5.552 1.804
-4.082 -2.059 -0.776
-4.741 -6.912 5.589
-3.060 -2.129 2.808
-5.763 -6.842 2.005
```

Computed, not measured: a relaxed structure of InAgTe2 at the PBE level of DFT.

Cell and atoms, written as POSCAR:
```
InAgTe2
1.0
-8.523 -2.982 0.640
6.191 -1.898 2.000
0.992 1.024 2.810
Ag Te In
1 2 1
Cartesian
3.591 -0.437 2.405
-3.766 -0.979 1.725
0.000 0.000 0.000
-1.166 -2.440 1.320
```

Computed, not measured: a relaxed structure of Pr2HgGe3Pt4 at the PBE level of DFT.

Cell and atoms, written as POSCAR:
```
Pr2HgGe3Pt4
1.0
4.390 0.000 0.000
0.000 4.390 0.000
0.000 0.000 10.587
Pr Pt Hg Ge
2 4 1 3
Cartesian
2.195 0.000 2.607
0.000 2.195 7.980
2.195 2.195 0.000
2.195 0.000 6.879
0.000 2.195 3.708
0.000 0.000 0.000
2.195 2.195 5.293
2.195 0.000 9.294
0.000 2.195 1.293
0.000 0.000 5.293
```

Computed properties:
DFT formation energy (eV per atom): -0.80

Computed, not measured: a relaxed structure of YScI2O at the PBE level of DFT.

Cell and atoms, written as POSCAR:
```
YScI2O
1.0
-5.548 0.379 2.732
2.624 -1.164 5.490
0.569 4.067 0.591
Sc Y I O
1 1 2 1
Cartesian
-1.177 1.641 4.407
0.000 0.000 0.000
1.312 -0.582 2.745
-2.774 0.190 1.366
0.284 2.034 0.295
```

Computed properties:
Energy above the most stable polymorph in this dataset (eV/f.u.): 0.955

Computed, not measured: a relaxed structure of CrInPd2 at the PBE level of DFT.

Cell and atoms, written as POSCAR:
```
CrInPd2
1.0
3.257 0.000 0.000
0.000 3.257 0.000
0.000 0.000 6.235
In Cr Pd
1 1 2
Cartesian
1.629 1.629 3.117
1.629 1.629 0.000
0.000 0.000 1.480
0.000 0.000 4.754
```

Computed properties:
DFT formation energy (eV per atom): -0.18

Taking the records one at a time from the top gives DFT total energy values of -3.886, -6.205, -7.097, -6.518, -3.006, -5.583, -5.293, -5.864 eV/atom.